Entry 1:
{"formula": "LaOsI3", "functional": "PBE", "state": "optimized geometry", "dft_energy_ev_per_cell": -20.1, "total_magnetization_mub_per_fu": 0.00, "dos_ef_per_ev_fu": 3.52, "lattice": [[5.367, 0.000, 0.000], [0.000, 5.367, 0.000], [0.000, 0.000, 5.367]], "species": ["La", "Os", "I", "I", "I"], "fractional_positions": [[0.000, 0.000, 0.000], [0.500, 0.500, 0.500], [0.000, 0.500, 0.500], [0.500, 0.000, 0.500], [0.500, 0.500, 0.000]]}


Entry 2:
{"formula": "La4OsI5", "functional": "PBE", "state": "optimized geometry", "dft_energy_ev_per_cell": -50.6, "total_magnetization_mub_per_fu": 0.00, "dos_ef_per_ev_fu": 5.72, "lattice": [[9.915, -2.203, 0.000], [9.915, 2.203, 0.000], [-2.234, 0.000, 9.157]], "species": ["La", "La", "La", "La", "Os", "I", "I", "I", "I", "I"], "fractional_positions": [[0.000, 0.000, 0.212], [0.000, 0.000, 0.788], [0.360, 0.360, 0.927], [0.640, 0.640, 0.073], [0.500, 0.500, 0.000], [0.169, 0.169, 0.341], [0.173, 0.173, 0.832], [0.500, 0.500, 0.500], [0.827, 0.827, 0.168], [0.831, 0.831, 0.659]]}


Entry 3:
{"formula": "LaOsI3", "functional": "PBE", "state": "optimized geometry", "dft_energy_ev_per_cell": -18.2, "total_magnetization_mub_per_fu": 4.00, "dos_ef_per_ev_fu": 23.20, "lattice": [[6.293, 0.000, 0.000], [0.000, 6.293, 0.000], [0.000, 0.000, 6.293]], "species": ["La", "Os", "I", "I", "I"], "fractional_positions": [[0.000, 0.000, 0.000], [0.500, 0.500, 0.500], [0.000, 0.000, 0.500], [0.000, 0.500, 0.000], [0.500, 0.000, 0.000]]}


Entry 4:
{"formula": "La6OsI10", "functional": "PBE", "state": "optimized geometry", "dft_energy_ev_per_cell": -78.9, "total_magnetization_mub_per_fu": 2.06, "dos_ef_per_ev_fu": 6.77, "lattice": [[8.178, 0.000, 0.000], [-2.644, 9.775, 0.000], [-1.244, -3.521, 9.446]], "species": ["La", "La", "La", "La", "La", "La", "Os", "I", "I", "I", "I", "I", "I", "I", "I", "I", "I"], "fractional_positions": [[0.035, 0.217, 0.415], [0.119, 0.545, 0.263], [0.359, 0.633, 0.677], [0.641, 0.367, 0.323], [0.881, 0.455, 0.737], [0.965, 0.783, 0.585], [0.000, 0.500, 0.500], [0.085, 0.871, 0.320], [0.214, 0.241, 0.149], [0.256, 0.586, 0.961], [0.351, 0.956, 0.773], [0.454, 0.317, 0.588], [0.546, 0.683, 0.412], [0.649, 0.044, 0.227], [0.744, 0.414, 0.039], [0.786, 0.759, 0.851], [0.915, 0.129, 0.680]]}